Record 1
A geometry-optimized Ta2AlNi9 structure, computed with PBE.

Properties
Its space group is P4/mmm, No. 123. Its spin magnetization is 0.0 μB/f.u. For the density of states at the Fermi level, the calculation gives 6.023 states/eV/f.u. The value obtained for the formation energy is -369 meV per atom.

Unit cell a=3.653 b=3.653 c=10.844 alpha=90.00 beta=90.00 gamma=90.00
Sites, in units of the cell vectors:
Ta  0.000  0.000  0.174
Ta  0.000  0.000  0.826
Al  0.000  0.000  0.500
Ni  0.000  0.500  0.000
Ni  0.000  0.500  0.337
Ni  0.000  0.500  0.663
Ni  0.500  0.000  0.000
Ni  0.500  0.000  0.337
Ni  0.500  0.000  0.663
Ni  0.500  0.500  0.167
Ni  0.500  0.500  0.500
Ni  0.500  0.500  0.833

***

Record 2
A geometry-optimized TaAl2Ni structure, computed with PBE.

Properties
Its space group is P2/m, No. 10. Its spin magnetization is 0.0 μB/f.u. For the density of states at the Fermi level, the calculation gives 2.204 states/eV/f.u. The value obtained for the formation energy is -250 meV per atom.

Unit cell a=2.838 b=4.050 c=5.299 alpha=90.00 beta=100.42 gamma=90.00
Sites, in units of the cell vectors:
Ta  0.000  0.000  0.000
Al  0.369  0.500  0.736
Al  0.631  0.500  0.264
Ni  0.500  0.000  0.500

***

Record 3
A geometry-optimized TaAl3Ni6 structure, computed with PBE.

Properties
Its space group is P2_1/m, No. 11. Its spin magnetization is 0.0 μB/f.u. For the density of states at the Fermi level, the calculation gives 6.149 states/eV/f.u. The value obtained for the formation energy is -483 meV per atom.

Unit cell a=7.471 b=3.934 c=8.472 alpha=90.00 beta=99.19 gamma=90.00
Sites, in units of the cell vectors:
Ta  0.060  0.250  0.384
Ta  0.940  0.750  0.616
Al  0.249  0.250  0.022
Al  0.348  0.750  0.813
Al  0.453  0.250  0.604
Al  0.547  0.750  0.396
Al  0.652  0.250  0.187
Al  0.751  0.750  0.978
Ni  0.060  0.750  0.915
Ni  0.156  0.750  0.214
Ni  0.162  0.250  0.716
Ni  0.258  0.750  0.519
Ni  0.373  0.250  0.308
Ni  0.457  0.750  0.104
Ni  0.543  0.250  0.896
Ni  0.627  0.750  0.692
Ni  0.742  0.250  0.481
Ni  0.838  0.750  0.284
Ni  0.844  0.250  0.786
Ni  0.940  0.250  0.085

***

Repeat the first record exactly.
A geometry-optimized Ta2AlNi9 structure, computed with PBE.

Properties
Its space group is P4/mmm, No. 123. Its spin magnetization is 0.0 μB/f.u. For the density of states at the Fermi level, the calculation gives 6.023 states/eV/f.u. The value obtained for the formation energy is -369 meV per atom.

Unit cell a=3.653 b=3.653 c=10.844 alpha=90.00 beta=90.00 gamma=90.00
Sites, in units of the cell vectors:
Ta  0.000  0.000  0.174
Ta  0.000  0.000  0.826
Al  0.000  0.000  0.500
Ni  0.000  0.500  0.000
Ni  0.000  0.500  0.337
Ni  0.000  0.500  0.663
Ni  0.500  0.000  0.000
Ni  0.500  0.000  0.337
Ni  0.500  0.000  0.663
Ni  0.500  0.500  0.167
Ni  0.500  0.500  0.500
Ni  0.500  0.500  0.833

***

Repeat the second record exactly.
A geometry-optimized TaAl2Ni structure, computed with PBE.

Properties
Its space group is P2/m, No. 10. Its spin magnetization is 0.0 μB/f.u. For the density of states at the Fermi level, the calculation gives 2.204 states/eV/f.u. The value obtained for the formation energy is -250 meV per atom.

Unit cell a=2.838 b=4.050 c=5.299 alpha=90.00 beta=100.42 gamma=90.00
Sites, in units of the cell vectors:
Ta  0.000  0.000  0.000
Al  0.369  0.500  0.736
Al  0.631  0.500  0.264
Ni  0.500  0.000  0.500

***

Q: What is the spin magnetization in the first record?
A: 0.0 μB/f.u.